1.
11
Lattice="4.5739 0.0000 0.0000 0.0000 6.9821 -4.0311 0.0000 0.0000 8.0623" Properties=species:S:1:pos:R:3 comment="Hf6Sc2Al3, relaxed, DFT GGA-PBE" e_tot_ev_per_atom=-7.376 n_ef_per_ev_atom=1.47 pbc="T T T"
Hf 2.2869 1.7019 -0.9826
Al 2.2869 0.0000 4.7269
Hf 2.2869 5.2803 3.0486
Al 2.2869 4.0936 -2.3634
Al 2.2869 2.8885 1.6677
Sc 0.0000 2.3274 4.0311
Sc 0.0000 4.6548 0.0000
Hf 0.0000 1.5472 0.8933
Hf 0.0000 5.4350 -3.1379
Hf 0.0000 0.0000 6.2758
Hf 2.2869 0.0000 1.9652

***

2.
16
Lattice="-0.8812 -4.4372 -2.2975 2.6432 -2.9932 4.7671 -8.6312 -0.5765 4.4237" Properties=species:S:1:pos:R:3 comment="HfSc3Al4, relaxed, DFT GGA-PBE" e_tot_ev_per_atom=-5.893 n_ef_per_ev_atom=0.64 pbc="T T T"
Hf -2.9940 -1.7849 4.5954
Al -4.6184 -3.2697 6.5674
Al -2.7834 -4.7409 4.6211
Sc -7.0214 -3.1919 1.8889
Sc -2.4910 -1.8218 0.2372
Sc 0.0000 0.0000 0.0000
Sc -1.1664 -3.3036 2.6285
Al -5.9241 -1.7911 4.2125
Hf 1.3216 -1.4966 2.3836
Al -2.2508 -4.7372 0.3259
Al 1.5322 -4.4526 2.4092
Al -0.9451 -6.2158 2.6808
Al 0.2298 -2.9778 0.0604
Al -4.0858 -3.2660 2.2722
Sc -4.3156 -0.2882 2.2118
Sc -5.7027 -4.7033 4.2648

***

3.
12
Lattice="5.0194 0.0000 0.0000 2.5097 7.7376 0.5211 2.5097 0.7031 6.4918" Properties=species:S:1:pos:R:3 comment="Hf7ScAl4, relaxed, DFT GGA-PBE" e_tot_ev_per_atom=-7.500 n_ef_per_ev_atom=0.63 pbc="T T T"
Hf 5.0194 5.7493 5.3471
Al 7.5291 5.7876 6.7461
Hf 7.5291 7.1685 4.0730
Hf 2.5097 1.2722 2.9398
Hf 2.5097 4.7503 2.0874
Hf 5.0194 2.6914 1.6658
Al 5.0194 2.3712 4.3053
Hf 7.5291 3.6904 4.9255
Al 5.0194 6.0695 2.7075
Sc 0.0000 0.0000 0.0000
Al 2.5097 2.6531 0.2667
Hf 2.5097 0.0000 0.0000

***

4.
4
Lattice="3.0249 -0.0038 0.0027 0.0073 5.0257 -1.0364 -0.0051 -0.4854 5.1084" Properties=species:S:1:pos:R:3 comment="HfScAl2, relaxed, DFT GGA-PBE" e_tot_ev_per_atom=-6.316 n_ef_per_ev_atom=0.96 pbc="T T T"
Hf 1.5161 2.5109 -0.5169
Sc 1.5099 -0.2446 2.5555
Al 0.0000 0.0000 0.0000
Al 0.0011 2.2702 2.0360

***

5.
12
Lattice="5.0763 0.0000 0.0000 2.5382 7.8967 0.4860 2.5382 0.7082 6.5673" Properties=species:S:1:pos:R:3 comment="HfSc7Al4, relaxed, DFT GGA-PBE" e_tot_ev_per_atom=-5.824 n_ef_per_ev_atom=0.94 pbc="T T T"
Al 5.0763 6.1878 2.7147
Al 5.0763 2.4170 4.3386
Al 2.5382 2.6887 0.2864
Sc 5.0763 5.8339 5.3881
Sc 5.0763 2.7709 1.6652
Hf 0.0000 0.0000 0.0000
Sc 2.5382 1.2754 3.0845
Sc 2.5382 4.9568 2.0284
Sc 7.6145 7.3295 3.9688
Al 7.6145 5.9162 6.7669
Sc 7.6145 3.6481 5.0249
Sc 2.5382 0.0000 0.0000

***

6.
8
Lattice="7.5708 0.0000 0.0000 0.0000 7.5708 0.0000 3.7854 3.7854 2.8954" Properties=species:S:1:pos:R:3 comment="HfScAl2, relaxed, DFT GGA-PBE" e_tot_ev_per_atom=-5.828 n_ef_per_ev_atom=0.85 pbc="T T T"
Al 9.4634 9.4578 2.1716
Al 5.6781 5.6837 2.1716
Al 1.8983 5.6781 0.7239
Sc 3.7854 7.5708 1.4477
Sc 3.7854 3.7854 0.0000
Hf 0.0000 0.0000 0.0000
Hf 7.5708 3.7854 1.4477
Al 5.6724 1.8927 0.7239

***

no.,magnetization (μB per atom)
1,0.000
2,0.000
3,0.000
4,0.050
5,0.000
6,0.000